(1)
La2InTe4 after structural relaxation, computed with PBE.

Results
* energy relative to the elements, uncorrected: -1.04 eV/atom
* ρ: 6.23 Mg/m³

Geometry as POSCAR:
```
La2InTe4
1.0
7.455 0.000 0.078
0.000 7.564 0.000
-2.649 0.000 8.507
La Te In
4 8 2
direct
0.751 0.750 0.066 La
0.696 0.750 0.542 La
0.304 0.250 0.458 La
0.249 0.250 0.934 La
0.065 0.750 0.436 Te
0.949 0.250 0.159 Te
0.507 0.490 0.240 Te
0.493 0.510 0.760 Te
0.507 0.010 0.240 Te
0.935 0.250 0.564 Te
0.051 0.750 0.841 Te
0.493 0.990 0.760 Te
0.214 0.750 0.175 In
0.786 0.250 0.825 In
```

=====

(2)
LaNdSi after structural relaxation, computed with PBE.

Results
* excess energy over the best structure of this formula in the dataset: 194 meV per atom
* energy relative to the elements, uncorrected: -0.32 eV/atom
* ρ: 6.05 Mg/m³

Geometry as POSCAR:
```
LaNdSi
1.0
4.346 0.000 0.000
0.000 4.763 0.000
0.000 -2.382 4.125
Si La Nd
1 1 1
direct
0.297 0.333 0.667 Si
0.631 0.667 0.333 La
0.072 0.000 0.000 Nd
```

=====

(3)
Pm4Ag5Au2 after structural relaxation, computed with PBE.

Results
* energy of formation: -0.38 eV per atom
* ρ: 9.28 Mg/m³

Geometry as POSCAR:
```
Pm4Ag5Au2
1.0
-3.735 0.719 0.142
-0.679 -2.106 -7.192
-1.529 -8.654 3.609
Ag Pm Au
5 4 2
direct
0.000 0.460 0.691 Ag
0.000 0.540 0.309 Ag
0.000 0.500 0.000 Ag
0.000 0.177 0.144 Ag
0.000 0.823 0.856 Ag
0.500 0.249 0.437 Pm
0.500 0.751 0.563 Pm
0.500 0.191 0.875 Pm
0.500 0.809 0.125 Pm
0.000 0.074 0.643 Au
0.000 0.926 0.357 Au
```

=====

(4)
LuScCu4 after structural relaxation, computed with PBE.

Results
* energy of formation: -0.22 eV per atom
* ρ: 8.29 Mg/m³

Geometry as POSCAR:
```
LuScCu4
1.0
-3.033 3.545 -2.111
-4.709 0.776 1.857
-1.067 4.307 2.556
Sc Cu Lu
1 4 1
direct
0.000 0.000 0.000 Sc
0.625 0.625 0.625 Cu
0.625 0.124 0.625 Cu
0.625 0.625 0.124 Cu
0.124 0.625 0.625 Cu
0.250 0.250 0.250 Lu
```

=====

(5)
RbAgIr2 after structural relaxation, computed with PBE.

Results
* excess energy over the best structure of this formula in the dataset: 0 meV per atom
* energy of formation: 0.93 eV per atom
* ρ: 8.64 Mg/m³

Geometry as POSCAR:
```
RbAgIr2
1.0
4.763 0.000 0.000
0.000 4.763 0.000
2.382 2.382 9.790
Ag Rb Ir
2 2 4
direct
0.750 0.250 0.500 Ag
0.000 0.000 0.000 Ag
0.500 0.500 0.000 Rb
0.250 0.750 0.500 Rb
0.906 0.625 0.250 Ir
0.844 0.125 0.250 Ir
0.875 0.094 0.750 Ir
0.375 0.156 0.750 Ir
```

=====

(6)
EuSn2Ru after structural relaxation, computed with PBE.

Results
* excess energy over the best structure of this formula in the dataset: 29 meV per atom
* energy of formation: -0.31 eV per atom
* ρ: 9.14 Mg/m³

Geometry as POSCAR:
```
EuSn2Ru
1.0
-3.278 -0.073 -0.775
0.724 -1.522 -2.918
-0.668 -7.003 3.487
Sn Ru Eu
2 1 1
direct
0.000 0.000 0.198 Sn
0.000 0.000 0.802 Sn
0.500 0.500 0.000 Ru
0.500 0.500 0.500 Eu
```

=====

(7)
PmZrBr after structural relaxation, computed with PBE.

Results
* energy relative to the elements, uncorrected: -0.63 eV/atom
* ρ: 5.78 Mg/m³

Geometry as POSCAR:
```
PmZrBr
1.0
3.626 -0.231 0.042
1.611 3.257 0.042
1.233 0.712 14.939
Zr Br Pm
2 2 2
direct
0.062 0.062 0.222 Zr
0.692 0.692 0.086 Zr
0.226 0.226 0.527 Br
0.527 0.527 0.780 Br
0.127 0.127 0.916 Pm
0.626 0.626 0.392 Pm
```

=====

(8)
NdZnCu3 after structural relaxation, computed with PBE.

Results
* excess energy over the best structure of this formula in the dataset: 0 meV per atom
* energy of formation: -0.12 eV per atom
* ρ: 7.30 Mg/m³

Geometry as POSCAR:
```
NdZnCu3
1.0
-4.325 1.188 2.281
-3.192 -7.490 -2.153
5.232 1.468 3.607
Cu Zn Nd
6 2 2
direct
0.250 0.924 0.500 Cu
0.763 0.763 0.026 Cu
0.737 0.237 0.974 Cu
0.237 0.237 0.974 Cu
0.750 0.076 0.500 Cu
0.263 0.763 0.026 Cu
0.000 0.500 0.000 Zn
0.500 0.000 0.000 Zn
0.250 0.292 0.500 Nd
0.750 0.708 0.500 Nd
```

=====

| no. | size of the total moment (μB/cell) |
| --- | --- |
| 1 | 0.00 |
| 2 | 0.00 |
| 3 | 0.00 |
| 4 | 0.00 |
| 5 | 0.00 |
| 6 | 7.74 |
| 7 | 0.02 |
| 8 | 0.00 |